First-principles (PBE) data for an optimized crystal structure of ScCd2Ni, as listed in Alexandria via LeMat-Bulk.

Values from the calculation:
Space-group type: Cmmm

a b c (Å): 5.2422 5.2422 3.0381
angles (deg): 90.00 90.00 113.82
With the nearest neighbours (Å) after each atom.
Positions (direct):
Cd1 0.0000 0.0000 0.0000  4 Cd 2.86-3.04, 4 Sc 3.03, 4 Ni 3.03
Cd2 0.5000 0.5000 0.0000  4 Cd 2.86-3.04, 4 Ni 3.03, 4 Sc 3.03
Ni1 0.5000 0.0000 0.5000  2 Sc 2.86, 8 Cd 3.03, 2 Ni 3.04
Sc1 0.0000 0.5000 0.5000  2 Ni 2.86, 8 Cd 3.03, 2 Sc 3.04


First-principles (PBE) data for an optimized crystal structure of ScCd2Ni, as listed in Alexandria via LeMat-Bulk.

Values from the calculation:
Space-group type: P2/m

a b c (Å): 4.6672 3.0758 5.4360
angles (deg): 75.84 90.00 90.00
With the nearest neighbours (Å) after each atom.
Positions (direct):
Cd1 0.0000 0.1061 0.0192  2 Ni 2.74, 3 Cd 2.84-2.90
Cd2 0.0000 0.3939 0.4808  2 Ni 2.74, 3 Cd 2.84-2.90
Ni1 0.5000 0.2500 0.2500  4 Cd 2.74, 2 Sc 2.78
Sc1 0.5000 0.7500 0.7500  2 Ni 2.78, 2 Sc 3.08, 4 Cd 3.09


First-principles (PBE) data for an optimized crystal structure of Sc5Cd4Ni, as listed in Alexandria via LeMat-Bulk.

Values from the calculation:
Space-group type: P4/mmm

a b c (Å): 3.2183 3.2183 20.2399
angles (deg): 90.00 90.00 90.00
With the nearest neighbours (Å) after each atom.
Positions (direct):
Sc1 0.5000 0.5000 0.0765  4 Ni 2.75
Sc2 0.5000 0.5000 0.2887  8 Cd 3.10-3.12, 4 Sc 3.22
Sc3 0.5000 0.5000 0.5000  8 Cd 3.12, 4 Sc 3.22
Sc4 0.5000 0.5000 0.7113  8 Cd 3.10-3.12, 4 Sc 3.22
Sc5 0.5000 0.5000 0.9235  4 Ni 2.75
Cd1 0.0000 0.0000 0.1846  8 Sc 3.10-3.16, 4 Cd 3.22
Cd2 0.0000 0.0000 0.3944  8 Sc 3.12, 4 Cd 3.22
Cd3 0.0000 0.0000 0.6056  8 Sc 3.12, 4 Cd 3.22
Cd4 0.0000 0.0000 0.8154  8 Sc 3.10-3.16, 4 Cd 3.22
Ni1 0.0000 0.0000 0.0000  8 Sc 2.75


First-principles (PBE) data for an optimized crystal structure of ScCdNi2, as listed in Alexandria via LeMat-Bulk.

Values from the calculation:
Space-group type: F-43m

a b c (Å): 4.4609 4.4609 4.4609
angles (deg): 60.00 60.00 60.00
With the nearest neighbours (Å) after each atom.
Positions (direct):
Cd1 0.5000 0.5000 0.5000  4 Ni 2.73, 4 Sc 2.73
Ni1 0.0000 0.0000 0.0000  4 Sc 2.73, 4 Ni 2.73
Ni2 0.2500 0.2500 0.2500  4 Cd 2.73, 4 Ni 2.73
Sc1 0.7500 0.7500 0.7500  4 Ni 2.73, 4 Cd 2.73


First-principles (PBE) data for an optimized crystal structure of ScCd2Ni, as listed in Alexandria via LeMat-Bulk.

Values from the calculation:
Space-group type: Pm

a b c (Å): 3.5790 3.4023 6.6797
angles (deg): 75.37 90.00 90.00
With the nearest neighbours (Å) after each atom.
Positions (direct):
Sc1 0.5000 0.7149 0.6938  4 Ni 2.61
Ni1 0.0000 0.2803 0.5617  4 Sc 2.61, 3 Cd 2.66-2.75
Cd1 0.0000 0.0691 0.9866  1 Ni 2.75, 4 Cd 3.03
Cd2 0.5000 0.4357 0.2578  2 Ni 2.66


First-principles (PBE) data for an optimized crystal structure of ScCd3Ni, as listed in Alexandria via LeMat-Bulk.

Values from the calculation:
Excess energy over the best structure of this formula in the dataset (eV per atom): 0.0000
Space-group type: Pm-3m

a b c (Å): 4.8616 4.8616 4.8616
angles (deg): 90.00 90.00 90.00
With the nearest neighbours (Å) after each atom.
Positions (direct):
Sc1 0.5000 0.5000 0.5000  12 Cd 3.44
Ni1 0.0000 0.0000 0.0000  6 Cd 2.43
Cd1 0.0000 0.5000 0.0000  2 Ni 2.43
Cd2 0.0000 0.0000 0.5000  2 Ni 2.43
Cd3 0.5000 0.0000 0.0000  2 Ni 2.43


First-principles (PBE) data for an optimized crystal structure of ScCd2Ni, as listed in Alexandria via LeMat-Bulk.

Values from the calculation:
Space-group type: I-42d

a b c (Å): 3.9841 3.9841 10.6374
angles (deg): 79.21 79.21 90.00
With the nearest neighbours (Å) after each atom.
Positions (direct):
Sc1 0.5000 0.5000 0.0000  4 Ni 2.82, 4 Cd 2.95
Sc2 0.2500 0.7500 0.5000  4 Ni 2.82, 4 Cd 2.95
Ni1 0.0000 0.0000 0.0000  4 Sc 2.82, 4 Cd 2.91
Ni2 0.7500 0.2500 0.5000  4 Sc 2.82, 4 Cd 2.91
Cd1 0.6390 0.1250 0.2500  4 Cd 2.74-2.90, 2 Ni 2.91, 2 Sc 2.95
Cd2 0.1110 0.6250 0.2500  4 Cd 2.74-2.90, 2 Ni 2.91, 2 Sc 2.95
Cd3 0.3750 0.3610 0.7500  4 Cd 2.74-2.90, 2 Ni 2.91, 2 Sc 2.95
Cd4 0.8750 0.8890 0.7500  4 Cd 2.74-2.90, 2 Ni 2.91, 2 Sc 2.95


First-principles (PBE) data for an optimized crystal structure of ScCd2Ni, as listed in Alexandria via LeMat-Bulk.

Values from the calculation:
Space-group type: C2/m

a b c (Å): 5.5689 5.5689 4.6236
angles (deg): 65.78 65.78 35.55
With the nearest neighbours (Å) after each atom.
Positions (direct):
Cd1 0.0298 0.0298 0.9703  2 Ni 2.71, 4 Cd 2.92-2.93
Cd2 0.4702 0.4702 0.5297  2 Ni 2.71, 4 Cd 2.92-2.93
Ni1 0.7500 0.7500 0.7500  4 Cd 2.71, 4 Sc 2.87
Sc1 0.2500 0.2500 0.2500  4 Ni 2.87, 8 Cd 3.12-3.17


Number 1: ΔH_f (0 K) 0.042 eV per atom, ρ 7.14 g cm⁻³. Number 2: ΔH_f (0 K) -0.063 eV per atom, ρ 7.21 g cm⁻³. Number 3: ΔH_f (0 K) -0.312 eV per atom, ρ 5.81 g cm⁻³. Number 4: ΔH_f (0 K) -0.085 eV per atom, ρ 7.27 g cm⁻³. Number 5: ΔH_f (0 K) -0.209 eV per atom, ρ 6.93 g cm⁻³. Number 6: ΔH_f (0 K) 0.186 eV per atom, ρ 6.37 g cm⁻³. Number 7: ΔH_f (0 K) 0.099 eV per atom, ρ 6.70 g cm⁻³. Number 8: ΔH_f (0 K) -0.134 eV per atom, ρ 7.25 g cm⁻³.